Record 1
First-principles (PBE) data for Ba3IrI2 after structural relaxation, as listed in the Alexandria database.

Properties
SG   Fddd (70)
Total magnetic moment   0.010 μB per formula unit
Total DFT energy (no corrections)   -3.95 eV per atom

Cell lengths 8.6070, 8.6070, 15.1112 Å; angles 101.42, 101.42, 107.74 degrees
Fractional positions:
Ba 0.0539 0.5539 0.5000
Ba 0.5945 0.6374 0.6866
Ba 0.1580 0.7009 0.8134
Ba 0.2991 0.8420 0.1866
Ba 0.6555 0.1126 0.8134
Ba 0.0920 0.0491 0.6866
Ba 0.8874 0.3445 0.1866
Ba 0.3626 0.4055 0.3134
Ba 0.4461 0.9461 0.5000
Ba 0.1961 0.1961 0.0000
Ba 0.8039 0.8039 0.0000
Ba 0.9509 0.9080 0.3134
I 0.5059 0.0059 0.0118
I 0.2559 0.2559 0.5118
I 0.7441 0.7441 0.4882
I 0.8266 0.3266 0.6532
I 0.9941 0.4941 0.9882
I 0.5766 0.5766 0.1532
I 0.6734 0.1734 0.3468
I 0.4234 0.4234 0.8468
Ir 0.0841 0.0841 0.1683
Ir 0.1659 0.6659 0.3317
Ir 0.3341 0.8341 0.6683
Ir 0.9159 0.9159 0.8317

***

Record 2
First-principles (PBE) data for Ba4IrI2 after structural relaxation, as listed in the Alexandria database.

Properties
SG   I4/mmm (139)
Total magnetic moment   0.646 μB per formula unit
Total DFT energy (no corrections)   -3.52 eV per atom

Cell lengths 6.1951, 6.1951, 9.7322 Å; angles 71.44, 71.44, 90.00 degrees
Fractional positions:
I 0.6195 0.6195 0.7610
I 0.3805 0.3805 0.2390
Ba 0.1758 0.1758 0.6484
Ba 0.5000 0.0000 0.0000
Ba 0.8242 0.8242 0.3516
Ba 0.0000 0.5000 0.0000
Ir 0.0000 0.0000 0.0000

***

Record 3
First-principles (PBE) data for Ba6IrI2 after structural relaxation, as listed in the Alexandria database.

Properties
SG   R-3 (148)
Total magnetic moment   0.275 μB per formula unit
Total DFT energy (no corrections)   -3.25 eV per atom

Cell lengths 7.9091, 7.9091, 10.0376 Å; angles 66.80, 66.80, 60.00 degrees
Fractional positions:
Ir 0.0000 0.0000 0.0000
I 0.1710 0.1710 0.4870
I 0.8290 0.8290 0.5130
Ba 0.2480 0.9316 0.2014
Ba 0.0684 0.3810 0.7986
Ba 0.9316 0.6190 0.2014
Ba 0.3810 0.7520 0.7986
Ba 0.7520 0.0684 0.7986
Ba 0.6190 0.2480 0.2014